No. 1
This record from the Alexandria database describes Rb2PmU3O12 after structural relaxation. The functional is PBE-GGA.

Lattice parameters (Å, degrees): 7.9031 7.9031 7.9031 61.84 61.84 61.84
Fractional coordinates of all 18 atoms:
1 Rb 0.6327 0.6327 0.6327
2 Rb 0.3673 0.3673 0.3673
3 Pm 0.0000 0.0000 0.0000
4 U 0.5000 0.0000 0.0000
5 U 0.0000 0.5000 0.0000
6 U 0.0000 0.0000 0.5000
7 O 0.3052 0.3052 0.9294
8 O 0.9226 0.9226 0.3491
9 O 0.3491 0.9226 0.9226
10 O 0.9294 0.3052 0.3052
11 O 0.9226 0.3491 0.9226
12 O 0.3052 0.9294 0.3052
13 O 0.6948 0.6948 0.0706
14 O 0.0774 0.0774 0.6509
15 O 0.6509 0.0774 0.0774
16 O 0.0706 0.6948 0.6948
17 O 0.0774 0.6509 0.0774
18 O 0.6948 0.0706 0.6948

Results
**Total energy**: -8.43 eV per atom
**Space-group type**: R-3m (166)

***

No. 2
This record from the Alexandria database describes Rb4PmU3O12 after structural relaxation. The functional is PBE-GGA.

Lattice parameters (Å, degrees): 7.5972 7.5972 7.5972 109.47 109.47 109.47
Site moments in Bohr magnetons follow the coordinates.
Fractional coordinates of all 20 atoms:
1 Rb 0.5000 0.5000 0.5000  0.00
2 Rb 0.0000 0.0000 0.5000  0.00
3 Rb 0.5000 0.0000 0.0000  0.00
4 Rb 0.0000 0.5000 0.0000  0.00
5 Pm 0.0000 0.0000 0.0000  0.00
6 U 0.5000 0.0000 0.5000  0.38
7 U 0.5000 0.5000 0.0000  0.38
8 U 0.0000 0.5000 0.5000  0.38
9 O 0.2500 0.5000 0.7500  -0.01
10 O 0.7306 0.0000 0.7306  -0.01
11 O 0.2694 0.0000 0.2694  -0.01
12 O 0.7500 0.5000 0.2500  -0.01
13 O 0.7306 0.7306 0.0000  -0.01
14 O 0.2694 0.2694 0.0000  -0.01
15 O 0.7500 0.2500 0.5000  -0.01
16 O 0.2500 0.7500 0.5000  -0.01
17 O 0.5000 0.2500 0.7500  -0.01
18 O 0.0000 0.7306 0.7306  -0.01
19 O 0.5000 0.7500 0.2500  -0.01
20 O 0.0000 0.2694 0.2694  -0.01

Results
**Total energy**: -7.98 eV per atom
**Space-group type**: Im-3m (229)